Entry 1:
# GeTeSe2 PBEsol relaxed
# DOS at the Fermi energy in states/eV/cell: 1.7
# ΔE to the lowest computed polymorph in meV per atom: 212
data_GeTeSe2
_cell_length_a 4.9285
_cell_length_b 4.9285
_cell_length_c 4.9285
_cell_angle_alpha 60.00
_cell_angle_beta 60.00
_cell_angle_gamma 60.00
_space_group_name_H-M_alt 'P 1'
_space_group_IT_number 1
loop_
_space_group_symop_operation_xyz
'x,y,z'
loop_
_atom_site_label
_atom_site_fract_x
_atom_site_fract_y
_atom_site_fract_z
_atom_site_occupancy
Ge1 0.0000 0.0000 0.0000 1
Te1 0.5000 0.5000 0.5000 1
Se1 0.2500 0.2500 0.2500 1
Se2 0.7500 0.7500 0.7500 1

***

Entry 2:
# GeTeSe2 PBEsol relaxed
# DOS at the Fermi energy in states/eV/cell: 2.5
# ΔE to the lowest computed polymorph in meV per atom: 0
data_GeTeSe2
_cell_length_a 8.8084
_cell_length_b 8.8084
_cell_length_c 8.8084
_cell_angle_alpha 24.27
_cell_angle_beta 24.27
_cell_angle_gamma 24.27
_space_group_name_H-M_alt 'P 1'
_space_group_IT_number 1
loop_
_space_group_symop_operation_xyz
'x,y,z'
loop_
_atom_site_label
_atom_site_fract_x
_atom_site_fract_y
_atom_site_fract_z
_atom_site_occupancy
Ge1 0.0000 0.0000 0.0000 1
Te1 0.5000 0.5000 0.5000 1
Se1 0.3942 0.3942 0.3942 1
Se2 0.6058 0.6058 0.6058 1

***

Entry 3:
# Ti2GeSe PBEsol relaxed
# DOS at the Fermi energy in states/eV/cell: 6.3
data_Ti2GeSe
_cell_length_a 4.4782
_cell_length_b 4.4782
_cell_length_c 4.4782
_cell_angle_alpha 60.00
_cell_angle_beta 60.00
_cell_angle_gamma 60.00
_space_group_name_H-M_alt 'P 1'
_space_group_IT_number 1
loop_
_space_group_symop_operation_xyz
'x,y,z'
loop_
_atom_site_label
_atom_site_fract_x
_atom_site_fract_y
_atom_site_fract_z
_atom_site_occupancy
Ti1 0.2500 0.2500 0.2500 1
Ti2 0.7500 0.7500 0.7500 1
Ge1 0.0000 0.0000 0.0000 1
Se1 0.5000 0.5000 0.5000 1

***

Entry 4:
# TlGeSe3 PBEsol relaxed
# DOS at the Fermi energy in states/eV/cell: 2.9
data_TlGeSe3
_cell_length_a 5.0006
_cell_length_b 5.0006
_cell_length_c 5.0006
_cell_angle_alpha 90.00
_cell_angle_beta 90.00
_cell_angle_gamma 90.00
_space_group_name_H-M_alt 'P 1'
_space_group_IT_number 1
loop_
_space_group_symop_operation_xyz
'x,y,z'
loop_
_atom_site_label
_atom_site_fract_x
_atom_site_fract_y
_atom_site_fract_z
_atom_site_occupancy
Tl1 0.0000 0.0000 0.0000 1
Ge1 0.5000 0.5000 0.5000 1
Se1 0.0000 0.5000 0.5000 1
Se2 0.5000 0.0000 0.5000 1
Se3 0.5000 0.5000 0.0000 1

***

Entry 5:
Below is a geometry-optimized Tl2Ge2Se5 structure, with properties calculated at the PBEsol level.

```
data_Tl2Ge2Se5
_cell_length_a 10.9335
_cell_length_b 10.9335
_cell_length_c 8.8734
_cell_angle_alpha 102.22
_cell_angle_beta 102.22
_cell_angle_gamma 89.56
_space_group_name_H-M_alt 'P 1'
_space_group_IT_number 1
loop_
_space_group_symop_operation_xyz
'x,y,z'
loop_
_atom_site_label
_atom_site_fract_x
_atom_site_fract_y
_atom_site_fract_z
_atom_site_occupancy
Tl1 0.0838 0.1997 0.0938 1
Tl2 0.1965 0.4581 0.5916 1
Tl3 0.1997 0.0838 0.5938 1
Tl4 0.4581 0.1965 0.0916 1
Tl5 0.5419 0.8035 0.9084 1
Tl6 0.8003 0.9162 0.4062 1
Tl7 0.8035 0.5419 0.4084 1
Tl8 0.9162 0.8003 0.9062 1
Ge1 0.1329 0.7305 0.3908 1
Ge2 0.2665 0.5171 0.0849 1
Ge3 0.2695 0.8671 0.1092 1
Ge4 0.4829 0.7335 0.4151 1
Ge5 0.5171 0.2665 0.5849 1
Ge6 0.7305 0.1329 0.8908 1
Ge7 0.7335 0.4829 0.9151 1
Ge8 0.8671 0.2695 0.6092 1
Se1 0.0001 0.2441 0.4366 1
Se2 0.9999 0.7559 0.5634 1
Se3 0.1007 0.5261 0.2263 1
Se4 0.1015 0.8985 0.2500 1
Se5 0.2354 0.6702 0.9272 1
Se6 0.2391 0.3230 0.9112 1
Se7 0.2441 0.0001 0.9366 1
Se8 0.3230 0.2391 0.4112 1
Se9 0.3298 0.7646 0.5728 1
Se10 0.4707 0.5293 0.2500 1
Se11 0.4739 0.8993 0.2737 1
Se12 0.5261 0.1007 0.7263 1
Se13 0.5293 0.4707 0.7500 1
Se14 0.6702 0.2354 0.4272 1
Se15 0.6770 0.7609 0.5888 1
Se16 0.7559 0.9999 0.0634 1
Se17 0.7609 0.6770 0.0888 1
Se18 0.7646 0.3298 0.0728 1
Se19 0.8985 0.1015 0.7500 1
Se20 0.8993 0.4739 0.7737 1
```

***

Entry 6:
# GeWSe2 PBEsol relaxed
# DOS at the Fermi energy in states/eV/cell: 2.7
data_GeWSe2
_cell_length_a 8.4042
_cell_length_b 8.4042
_cell_length_c 8.4042
_cell_angle_alpha 23.03
_cell_angle_beta 23.03
_cell_angle_gamma 23.03
_space_group_name_H-M_alt 'P 1'
_space_group_IT_number 1
loop_
_space_group_symop_operation_xyz
'x,y,z'
loop_
_atom_site_label
_atom_site_fract_x
_atom_site_fract_y
_atom_site_fract_z
_atom_site_occupancy
Ge1 0.0000 0.0000 0.0000 1
W1 0.5000 0.5000 0.5000 1
Se1 0.4029 0.4029 0.4029 1
Se2 0.5971 0.5971 0.5971 1

***

no.,E_form (uncorrected) (eV per atom)
1,0.198
2,-0.014
3,-0.533
4,0.059
5,-0.300
6,0.660